[1]
This record from Alexandria via LeMat-Bulk describes LiNiSe2 after structural relaxation. The functional is PBE-GGA.

Summary:
Energy relative to the elements, uncorrected (eV per atom): -0.40
Calculated volume (Å³/cell): 65.0
Spin magnetization (μB per formula unit): 0.00

abc: 3.603 3.603 5.008
angles: 90.00 90.00 90.00
Space group P4mm (No. 99)
Symmetry-distinct sites (fractional):
Li1 0.000 0.000 0.000 [1 per cell]
Ni1 0.500 0.500 0.492 [1 per cell]
Se1 0.000 0.000 0.500 [1 per cell]
Se2 0.500 0.500 0.997 [1 per cell]

---

[2]
This record from Alexandria via LeMat-Bulk describes Tb2HoCd2In2 after structural relaxation. The functional is PBE-GGA.

Summary:
DFT formation energy (meV/atom): -246
Calculated volume (Å³/cell): 566.2
Spin magnetization (μB per formula unit): 0.00

abc: 4.9352 4.9352 26.8427
angles: 90.00 90.00 120.00
Space group R-3m (No. 166, hexagonal axes)
Symmetry-distinct sites (fractional):
Tb1 0.0000 0.0000 0.1277 [6 per cell]
Ho1 0.0000 0.0000 0.0000 [3 per cell]
Cd1 0.0000 0.0000 0.3946 [6 per cell]
In1 0.0000 0.0000 0.2599 [6 per cell]

---

[3]
This record from Alexandria via LeMat-Bulk describes TmMg2Ti after structural relaxation. The functional is PBE-GGA.

Summary:
Energy relative to the lowest polymorph listed for this composition (meV/atom): 64
DFT formation energy (meV/atom): 197
Calculated volume (Å³/cell): 276.6
Spin magnetization (μB per formula unit): 0.79

abc: 3.1688 3.1688 31.8034
angles: 90.00 90.00 120.00
Space group R-3m (No. 166, hexagonal axes)
Symmetry-distinct sites (fractional):
Tm1 0.0000 0.0000 0.0000 [3 per cell]
Mg1 0.0000 0.0000 0.2438 [6 per cell]
Ti1 0.0000 0.0000 0.5000 [3 per cell]

---

[4]
This record from Alexandria via LeMat-Bulk describes Pr2AlIn after structural relaxation. The functional is PBE-GGA.

Summary:
DFT formation energy (meV/atom): -411
Calculated volume (Å³/cell): 112.7
Spin magnetization (μB per formula unit): 0.00

abc: 3.820 3.820 7.727
angles: 90.00 90.00 90.00
Space group P4/mmm (No. 123)
Symmetry-distinct sites (fractional):
Pr1 0.000 0.000 0.240 [2 per cell]
Al1 0.500 0.500 0.000 [1 per cell]
In1 0.500 0.500 0.500 [1 per cell]

---

[5]
This record from Alexandria via LeMat-Bulk describes Na2NpTaN4 after structural relaxation. The functional is PBE-GGA.

Summary:
Energy relative to the elements, uncorrected (eV per atom): -0.87
Calculated volume (Å³/cell): 107.1
Spin magnetization (μB per formula unit): 1.99

abc: 5.689 3.299 5.997
angles: 90.00 107.89 90.00
Space group P2/m (No. 10)
Symmetry-distinct sites (fractional):
Na1 0.000 0.000 0.000 [1 per cell]
Na2 0.500 0.500 0.000 [1 per cell]
Np1 0.000 0.500 0.500 [1 per cell]
Ta1 0.500 0.000 0.500 [1 per cell]
N1 0.244 0.000 0.691 [2 per cell]
N2 0.278 0.500 0.312 [2 per cell]

---

[6]
This record from Alexandria via LeMat-Bulk describes Ce2ScGa3Pt4 after structural relaxation. The functional is PBE-GGA.

Summary:
DFT formation energy (meV/atom): -967
Calculated volume (Å³/cell): 197.2
Spin magnetization (μB per formula unit): 1.78

abc: 4.149 4.149 11.456
angles: 90.00 90.00 90.00
Space group P-4m2 (No. 115)
Symmetry-distinct sites (fractional):
Ce1 0.000 0.500 0.239 [2 per cell]
Sc1 0.000 0.000 0.500 [1 per cell]
Ga1 0.000 0.500 0.871 [2 per cell]
Ga2 0.500 0.500 0.500 [1 per cell]
Pt1 0.000 0.000 0.000 [1 per cell]
Pt2 0.000 0.500 0.651 [2 per cell]
Pt3 0.500 0.500 0.000 [1 per cell]